Entry from Alexandria: crystalline CsNdMo2O8 at its relaxed geometry (PBE with a Hubbard U).

- Electronic total energy: -7.12 eV per atom

a b c (Å): 5.175 9.807 8.418
angles (deg): 90.00 90.00 90.00
Fractional coordinates of all 24 atoms:
1 Cs 0.000 0.000 0.250
2 Cs 0.000 0.000 0.750
3 Nd 0.000 0.500 0.250
4 Nd 0.000 0.500 0.750
5 Mo 0.480 0.302 0.000
6 Mo 0.480 0.698 0.500
7 Mo 0.520 0.302 0.500
8 Mo 0.520 0.698 0.000
9 O 0.253 0.430 0.500
10 O 0.253 0.570 0.000
11 O 0.267 0.312 0.170
12 O 0.267 0.312 0.830
13 O 0.267 0.688 0.330
14 O 0.267 0.688 0.670
15 O 0.381 0.139 0.500
16 O 0.381 0.861 0.000
17 O 0.619 0.139 0.000
18 O 0.619 0.861 0.500
19 O 0.733 0.312 0.330
20 O 0.733 0.312 0.670
21 O 0.733 0.688 0.170
22 O 0.733 0.688 0.830
23 O 0.747 0.430 0.000
24 O 0.747 0.570 0.500